# PrTmZnCu, optimized geometry, DFT PBE
data_PrTmZnCu
_chemical_formula_sum 'Pr1 Tm1 Zn1 Cu1'
_cell_length_a 3.550
_cell_length_b 3.550
_cell_length_c 7.206
_cell_angle_alpha 90.00
_cell_angle_beta 90.00
_cell_angle_gamma 90.00
_symmetry_space_group_name_H-M 'P 4 m m'
_symmetry_Int_Tables_number 99
loop_
_symmetry_equiv_pos_as_xyz
'x,y,z'
'-y,x,z'
'-x,-y,z'
'y,-x,z'
'-x,y,z'
'y,x,z'
'x,-y,z'
'-y,-x,z'
loop_
_atom_site_label
_atom_site_type_symbol
_atom_site_fract_x
_atom_site_fract_y
_atom_site_fract_z
Pr1 Pr 0.000 0.000 0.000
Tm1 Tm 0.000 0.000 0.488
Zn1 Zn 0.500 0.500 0.721
Cu1 Cu 0.500 0.500 0.283
# total energy	-15.66	eV per cell



# LiDyHoRh, optimized geometry, DFT PBE
data_LiDyHoRh
_chemical_formula_sum 'Li4 Dy4 Ho4 Rh4'
_cell_length_a 6.957
_cell_length_b 6.957
_cell_length_c 6.957
_cell_angle_alpha 90.00
_cell_angle_beta 90.00
_cell_angle_gamma 90.00
_symmetry_space_group_name_H-M 'F -4 3 m'
_symmetry_Int_Tables_number 216
_symmetry_space_group_name_Hall 'F -4 2 3'
loop_
_atom_site_label
_atom_site_type_symbol
_atom_site_fract_x
_atom_site_fract_y
_atom_site_fract_z
Li1 Li 0.000 0.000 0.000
Dy1 Dy 0.250 0.250 0.750
Ho1 Ho 0.250 0.250 0.250
Rh1 Rh 0.000 0.000 0.500
# total energy	-81.69	eV per cell



# Rb2NaMnS4, optimized geometry, DFT PBE
data_Rb2NaMnS4
_chemical_formula_sum 'Rb16 Na8 Mn8 S32'
_cell_length_a 6.290
_cell_length_b 13.259
_cell_length_c 24.040
_cell_angle_alpha 90.00
_cell_angle_beta 90.00
_cell_angle_gamma 90.00
_symmetry_space_group_name_H-M 'F d d d'
_symmetry_Int_Tables_number 70
loop_
_symmetry_equiv_pos_as_xyz
'x,y,z'
'-x,-y,-z'
'-x+1/4,-y+1/4,z'
'x+1/4,y+1/4,-z'
'x,-y+1/4,-z+1/4'
'-x,y+1/4,z+1/4'
'-x+1/4,y,-z+1/4'
'x+1/4,-y,z+1/4'
'x,y+1/2,z+1/2'
'-x,-y+1/2,-z+1/2'
'-x+1/4,-y+3/4,z+1/2'
'x+1/4,y+3/4,-z+1/2'
'x,-y+3/4,-z+3/4'
'-x,y+3/4,z+3/4'
'-x+1/4,y+1/2,-z+3/4'
'x+1/4,-y+1/2,z+3/4'
'x+1/2,y,z+1/2'
'-x+1/2,-y,-z+1/2'
'-x+3/4,-y+1/4,z+1/2'
'x+3/4,y+1/4,-z+1/2'
'x+1/2,-y+1/4,-z+3/4'
'-x+1/2,y+1/4,z+3/4'
'-x+3/4,y,-z+3/4'
'x+3/4,-y,z+3/4'
'x+1/2,y+1/2,z'
'-x+1/2,-y+1/2,-z'
'-x+3/4,-y+3/4,z'
'x+3/4,y+3/4,-z'
'x+1/2,-y+3/4,-z+1/4'
'-x+1/2,y+3/4,z+1/4'
'-x+3/4,y+1/2,-z+1/4'
'x+3/4,-y+1/2,z+1/4'
loop_
_atom_site_label
_atom_site_type_symbol
_atom_site_fract_x
_atom_site_fract_y
_atom_site_fract_z
Rb1 Rb 0.125 0.125 0.307
Na1 Na 0.125 0.125 0.125
Mn1 Mn 0.125 0.125 0.625
S1 S 0.061 0.280 0.823
# uncorrected formation energy	-0.8167	eV per atom



# Cs4Pm3SnSe8, optimized geometry, DFT PBE
data_Cs4Pm3SnSe8
_chemical_formula_sum 'Cs12 Pm9 Sn3 Se24'
_cell_length_a 8.7274
_cell_length_b 8.7274
_cell_length_c 25.1463
_cell_angle_alpha 90.00
_cell_angle_beta 90.00
_cell_angle_gamma 120.00
_symmetry_space_group_name_H-M 'R -3 m'
_symmetry_Int_Tables_number 166
_symmetry_space_group_name_Hall '-R 3 2"'
loop_
_atom_site_label
_atom_site_type_symbol
_atom_site_fract_x
_atom_site_fract_y
_atom_site_fract_z
Cs1 Cs 0.0000 0.0000 0.0000
Cs2 Cs 0.0000 0.5000 0.0000
Pm1 Pm 0.0000 0.5000 0.5000
Sn1 Sn 0.0000 0.0000 0.5000
Se1 Se 0.0000 0.0000 0.2301
Se2 Se 0.0041 0.5021 0.2289
# uncorrected formation energy	-1.4659	eV per atom



# LiCaErOs, optimized geometry, DFT PBE
data_LiCaErOs
_chemical_formula_sum 'Li4 Ca4 Er4 Os4'
_cell_length_a 6.946
_cell_length_b 6.946
_cell_length_c 6.946
_cell_angle_alpha 90.00
_cell_angle_beta 90.00
_cell_angle_gamma 90.00
_symmetry_space_group_name_H-M 'F -4 3 m'
_symmetry_Int_Tables_number 216
_symmetry_space_group_name_Hall 'F -4 2 3'
loop_
_atom_site_label
_atom_site_type_symbol
_atom_site_fract_x
_atom_site_fract_y
_atom_site_fract_z
Li1 Li 0.000 0.000 0.000
Ca1 Ca 0.250 0.250 0.250
Er1 Er 0.250 0.250 0.750
Os1 Os 0.000 0.000 0.500
# total energy	-78.43	eV per cell



# Mg2Pd7Au3, optimized geometry, DFT PBE
data_Mg2Pd7Au3
_chemical_formula_sum 'Mg2 Pd7 Au3'
_cell_length_a 4.629
_cell_length_b 2.867
_cell_length_c 15.094
_cell_angle_alpha 90.00
_cell_angle_beta 92.94
_cell_angle_gamma 90.00
_symmetry_space_group_name_H-M 'P 1 2/m 1'
_symmetry_Int_Tables_number 10
loop_
_symmetry_equiv_pos_as_xyz
'x,y,z'
'-x,-y,-z'
'-x,y,-z'
'x,-y,z'
loop_
_atom_site_label
_atom_site_type_symbol
_atom_site_fract_x
_atom_site_fract_y
_atom_site_fract_z
Mg1 Mg 0.214 0.000 0.292
Pd1 Pd 0.183 0.500 0.151
Pd2 Pd 0.243 0.000 0.458
Pd3 Pd 0.313 0.000 0.822
Pd4 Pd 0.500 0.500 0.000
Au1 Au 0.000 0.000 0.000
Au2 Au 0.272 0.500 0.631
# total energy	-51.71	eV per cell



# La4OsCBr2, optimized geometry, DFT PBE
data_La4OsCBr2
_chemical_formula_sum 'La4 Os1 C1 Br2'
_cell_length_a 7.024
_cell_length_b 4.110
_cell_length_c 8.064
_cell_angle_alpha 90.00
_cell_angle_beta 105.79
_cell_angle_gamma 90.00
_symmetry_space_group_name_H-M 'P 1 2/m 1'
_symmetry_Int_Tables_number 10
loop_
_symmetry_equiv_pos_as_xyz
'x,y,z'
'-x,-y,-z'
'-x,y,-z'
'x,-y,z'
loop_
_atom_site_label
_atom_site_type_symbol
_atom_site_fract_x
_atom_site_fract_y
_atom_site_fract_z
La1 La 0.226 0.000 0.181
La2 La 0.244 0.500 0.807
Os1 Os 0.500 0.000 0.000
C1 C 0.000 0.500 0.000
Br1 Br 0.000 0.000 0.500
Br2 Br 0.500 0.500 0.500
# uncorrected formation energy	-0.8425	eV per atom



# Zr4Hg5H, optimized geometry, DFT PBE
data_Zr4Hg5H
_chemical_formula_sum 'Zr8 Hg10 H2'
_cell_length_a 16.268
_cell_length_b 3.272
_cell_length_c 8.165
_cell_angle_alpha 90.00
_cell_angle_beta 101.03
_cell_angle_gamma 90.00
_symmetry_space_group_name_H-M 'C 1 2/m 1'
_symmetry_Int_Tables_number 12
loop_
_symmetry_equiv_pos_as_xyz
'x,y,z'
'-x,-y,-z'
'-x,y,-z'
'x,-y,z'
'x+1/2,y+1/2,z'
'-x+1/2,-y+1/2,-z'
'-x+1/2,y+1/2,-z'
'x+1/2,-y+1/2,z'
loop_
_atom_site_label
_atom_site_type_symbol
_atom_site_fract_x
_atom_site_fract_y
_atom_site_fract_z
Zr1 Zr 0.007 0.000 0.184
Zr2 Zr 0.150 0.500 0.054
Hg1 Hg 0.000 0.500 0.500
Hg2 Hg 0.170 0.000 0.746
Hg3 Hg 0.184 0.000 0.377
H1 H 0.000 0.500 0.000
# total energy	-79.08	eV per cell



# TbY2Mg6, optimized geometry, DFT PBE
data_TbY2Mg6
_chemical_formula_sum 'Tb2 Y4 Mg12'
_cell_length_a 15.700
_cell_length_b 9.054
_cell_length_c 3.317
_cell_angle_alpha 90.00
_cell_angle_beta 90.10
_cell_angle_gamma 90.00
_symmetry_space_group_name_H-M 'C 1 2/m 1'
_symmetry_Int_Tables_number 12
loop_
_symmetry_equiv_pos_as_xyz
'x,y,z'
'-x,-y,-z'
'-x,y,-z'
'x,-y,z'
'x+1/2,y+1/2,z'
'-x+1/2,-y+1/2,-z'
'-x+1/2,y+1/2,-z'
'x+1/2,-y+1/2,z'
loop_
_atom_site_label
_atom_site_type_symbol
_atom_site_fract_x
_atom_site_fract_y
_atom_site_fract_z
Tb1 Tb 0.000 0.000 0.000
Y1 Y 0.167 0.500 0.000
Mg1 Mg 0.000 0.334 0.500
Mg2 Mg 0.167 0.167 0.500
# total energy	-55.68	eV per cell



# CaPr5Sm2Y, optimized geometry, DFT PBE
data_CaPr5Sm2Y
_chemical_formula_sum 'Ca4 Pr20 Sm8 Y4'
_cell_length_a 5.556
_cell_length_b 22.310
_cell_length_c 10.597
_cell_angle_alpha 90.00
_cell_angle_beta 90.00
_cell_angle_gamma 90.00
_symmetry_space_group_name_H-M 'C m c 21'
_symmetry_Int_Tables_number 36
loop_
_symmetry_equiv_pos_as_xyz
'x,y,z'
'-x,-y,z+1/2'
'-x,y,z'
'x,-y,z+1/2'
'x+1/2,y+1/2,z'
'-x+1/2,-y+1/2,z+1/2'
'-x+1/2,y+1/2,z'
'x+1/2,-y+1/2,z+1/2'
loop_
_atom_site_label
_atom_site_type_symbol
_atom_site_fract_x
_atom_site_fract_y
_atom_site_fract_z
Ca1 Ca 0.000 0.102 0.000
Pr1 Pr 0.000 0.000 0.250
Pr2 Pr 0.000 0.118 0.501
Pr3 Pr 0.000 0.220 0.195
Pr4 Pr 0.000 0.221 0.807
Pr5 Pr 0.000 0.499 0.001
Sm1 Sm 0.000 0.383 0.236
Sm2 Sm 0.000 0.384 0.764
Y1 Y 0.000 0.281 0.501
# total energy	-161.64	eV per cell



# BaLaNi10, optimized geometry, DFT PBE
data_BaLaNi10
_chemical_formula_sum 'Ba1 La1 Ni10'
_cell_length_a 3.962
_cell_length_b 5.095
_cell_length_c 8.843
_cell_angle_alpha 90.00
_cell_angle_beta 90.00
_cell_angle_gamma 90.00
_symmetry_space_group_name_H-M 'P m m m'
_symmetry_Int_Tables_number 47
loop_
_symmetry_equiv_pos_as_xyz
'x,y,z'
'-x,-y,-z'
'-x,-y,z'
'x,y,-z'
'x,-y,-z'
'-x,y,z'
'-x,y,-z'
'x,-y,z'
loop_
_atom_site_label
_atom_site_type_symbol
_atom_site_fract_x
_atom_site_fract_y
_atom_site_fract_z
Ba1 Ba 0.000 0.000 0.000
La1 La 0.000 0.500 0.500
Ni1 Ni 0.000 0.000 0.342
Ni2 Ni 0.000 0.500 0.177
Ni3 Ni 0.500 0.000 0.500
Ni4 Ni 0.500 0.254 0.259
Ni5 Ni 0.500 0.500 0.000
# total energy	-65.75	eV per cell



Number 1: total moment 0.04 μB/cell. Number 2: total moment 0.00 μB/cell. Number 3: total moment 16.00 μB/cell. Number 4: total moment 0.00 μB/cell. Number 5: total moment 0.00 μB/cell. Number 6: total moment 0.00 μB/cell. Number 7: total moment 0.00 μB/cell. Number 8: total moment 0.00 μB/cell. Number 9: total moment 0.00 μB/cell. Number 10: total moment 0.00 μB/cell. Number 11: total moment 3.66 μB/cell.